P.
A relaxed structure of LiLa2Ru. Source: Alexandria via LeMat-Bulk, functional PBE.

Unit cell a=4.092 b=4.092 c=9.168 alpha=103.08 beta=103.08 gamma=60.01
Fractional positions:
Li 0.000 0.000 0.000
La 0.226 0.226 0.675
La 0.774 0.774 0.325
Ru 0.500 0.500 0.500


Q.
A relaxed structure of LiLa2Ru. Source: Alexandria via LeMat-Bulk, functional PBE.

Unit cell a=4.971 b=4.971 c=4.971 alpha=60.00 beta=60.00 gamma=60.00
Fractional positions:
Li 0.000 0.000 0.000
La 0.500 0.500 0.500
La 0.750 0.750 0.750
Ru 0.250 0.250 0.250


On energetic grounds, P is preferred over the next structure by 18.5 kJ/mol of atoms.